Computed, not measured: a relaxed structure of SrPSe4 at the PBE level of DFT.

Values from the calculation:
M_tot = 0.00 μB per cell
DFT total energy = -20.5 eV per formula unit
space-group type = F-43m, No. 216

Structure (POSCAR):
```
SrPSe4
1.0
0.000 4.100 4.100
4.100 0.000 4.100
4.100 4.100 0.000
Sr P Se
1 1 4
direct
0.000 0.000 0.000
0.750 0.750 0.750
0.376 0.376 0.376
0.376 0.376 0.872
0.376 0.872 0.376
0.872 0.376 0.376
```